1.
# GGA-PBE AcNd3S, optimized geometry
# theoretical density = 6.60 g/cm³
# DOS at the Fermi energy = 7.1 states/eV/f.u.
# magnetic moment = 0.00 μB/cell
# uncorrected formation energy = -0.696 eV per atom
data_AcNd3S
_symmetry_space_group_name_H-M 'P m -3 m'
_symmetry_Int_Tables_number 221
_symmetry_space_group_name_Hall '-P 4 2 3'
_cell_length_a 5.583
_cell_length_b 5.583
_cell_length_c 5.583
_cell_angle_alpha 90.00
_cell_angle_beta 90.00
_cell_angle_gamma 90.00
loop_
_atom_site_label
_atom_site_type_symbol
_atom_site_fract_x
_atom_site_fract_y
_atom_site_fract_z
_atom_site_occupancy
Ac1 Ac 0.000 0.000 0.000 1
Nd1 Nd 0.000 0.500 0.500 1
S1 S 0.500 0.500 0.500 1

2.
# GGA-PBE Rh3C5, optimized geometry
# formation energy = 1.878 eV/atom
# theoretical density = 6.79 g/cm³
# E above lowest polymorph = 907 meV/atom
# DOS at the Fermi energy = 5.2 states/eV/f.u.
# magnetic moment = 0.00 μB/cell
data_Rh3C5
_symmetry_space_group_name_H-M 'P 63/m c m'
_symmetry_Int_Tables_number 193
_symmetry_space_group_name_Hall '-P 6c 2'
_cell_length_a 5.6466
_cell_length_b 5.6466
_cell_length_c 6.5291
_cell_angle_alpha 90.00
_cell_angle_beta 90.00
_cell_angle_gamma 120.00
loop_
_atom_site_label
_atom_site_type_symbol
_atom_site_fract_x
_atom_site_fract_y
_atom_site_fract_z
_atom_site_occupancy
Rh1 Rh 0.0000 0.3844 0.2500 1
C1 C 0.0000 0.2522 0.7500 1
C2 C 0.3333 0.6667 0.0000 1

3.
# GGA-PBE AlAgRh3, optimized geometry
# formation energy = 1.599 eV/atom
# theoretical density = 6.74 g/cm³
# E above lowest polymorph = 993 meV/atom
# DOS at the Fermi energy = 11.4 states/eV/f.u.
# magnetic moment = 1.56 μB/cell
data_AlAgRh3
_symmetry_space_group_name_H-M 'P m -3 m'
_symmetry_Int_Tables_number 221
_symmetry_space_group_name_Hall '-P 4 2 3'
_cell_length_a 4.781
_cell_length_b 4.781
_cell_length_c 4.781
_cell_angle_alpha 90.00
_cell_angle_beta 90.00
_cell_angle_gamma 90.00
loop_
_atom_site_label
_atom_site_type_symbol
_atom_site_fract_x
_atom_site_fract_y
_atom_site_fract_z
_atom_site_occupancy
Al1 Al 0.000 0.000 0.000 1
Ag1 Ag 0.500 0.500 0.500 1
Rh1 Rh 0.000 0.500 0.500 1

4.
# GGA-PBE PmAlAs2, optimized geometry
# formation energy = -0.388 eV/atom
# theoretical density = 3.94 g/cm³
# E above lowest polymorph = 193 meV/atom
# magnetic moment = 0.00 μB/cell
data_PmAlAs2
_symmetry_space_group_name_H-M 'R -3 m'
_symmetry_Int_Tables_number 166
_symmetry_space_group_name_Hall '-R 3 2"'
_cell_length_a 4.6083
_cell_length_b 4.6083
_cell_length_c 22.1277
_cell_angle_alpha 90.00
_cell_angle_beta 90.00
_cell_angle_gamma 120.00
loop_
_atom_site_label
_atom_site_type_symbol
_atom_site_fract_x
_atom_site_fract_y
_atom_site_fract_z
_atom_site_occupancy
Pm1 Pm 0.0000 0.0000 0.0000 1
Al1 Al 0.0000 0.0000 0.5000 1
As1 As 0.0000 0.0000 0.3968 1

5.
# GGA-PBE ZnSbOs2, optimized geometry
# theoretical density = 15.09 g/cm³
# E above lowest polymorph = 128 meV/atom
# DOS at the Fermi energy = 3.5 states/eV/f.u.
# magnetic moment = 0.00 μB/cell
# uncorrected formation energy = 0.469 eV per atom
data_ZnSbOs2
_symmetry_space_group_name_H-M 'P 4/m m m'
_symmetry_Int_Tables_number 123
_symmetry_space_group_name_Hall '-P 4 2'
_cell_length_a 4.426
_cell_length_b 4.426
_cell_length_c 3.188
_cell_angle_alpha 90.00
_cell_angle_beta 90.00
_cell_angle_gamma 90.00
loop_
_atom_site_label
_atom_site_type_symbol
_atom_site_fract_x
_atom_site_fract_y
_atom_site_fract_z
_atom_site_occupancy
Zn1 Zn 0.000 0.000 0.000 1
Sb1 Sb 0.500 0.500 0.000 1
Os1 Os 0.000 0.500 0.500 1

6.
# GGA-PBE CsTeSeI2, optimized geometry
# theoretical density = 4.59 g/cm³
# E above lowest polymorph = 0 meV/atom
# DOS at the Fermi energy = 2.8 states/eV/f.u.
# magnetic moment = 0.00 μB/cell
# uncorrected formation energy = -0.530 eV per atom
data_CsTeSeI2
_symmetry_space_group_name_H-M 'P 4/m m m'
_symmetry_Int_Tables_number 123
_symmetry_space_group_name_Hall '-P 4 2'
_cell_length_a 6.232
_cell_length_b 6.232
_cell_length_c 5.526
_cell_angle_alpha 90.00
_cell_angle_beta 90.00
_cell_angle_gamma 90.00
loop_
_atom_site_label
_atom_site_type_symbol
_atom_site_fract_x
_atom_site_fract_y
_atom_site_fract_z
_atom_site_occupancy
Cs1 Cs 0.000 0.000 0.000 1
Te1 Te 0.500 0.500 0.500 1
Se1 Se 0.500 0.500 0.000 1
I1 I 0.000 0.500 0.500 1

7.
# GGA-PBE PrDy2Er12, optimized geometry
# formation energy = 0.376 eV/atom
# theoretical density = 8.18 g/cm³
# DOS at the Fermi energy = 27.5 states/eV/f.u.
# magnetic moment = 0.00 μB/cell
data_PrDy2Er12
_symmetry_space_group_name_H-M 'P 4/n b m'
_symmetry_Int_Tables_number 125
_cell_length_a 6.384
_cell_length_b 6.384
_cell_length_c 24.622
_cell_angle_alpha 90.00
_cell_angle_beta 90.00
_cell_angle_gamma 90.00
loop_
_symmetry_equiv_pos_as_xyz
'x,y,z'
'-x,-y,-z'
'-y+1/2,x,z'
'y+1/2,-x,-z'
'-x+1/2,-y+1/2,z'
'x+1/2,y+1/2,-z'
'y,-x+1/2,z'
'-y,x+1/2,-z'
'x,-y+1/2,-z'
'-x,y+1/2,z'
'-y+1/2,-x+1/2,-z'
'y+1/2,x+1/2,z'
'-x+1/2,y,-z'
'x+1/2,-y,z'
'y,x,-z'
'-y,-x,z'
loop_
_atom_site_label
_atom_site_type_symbol
_atom_site_fract_x
_atom_site_fract_y
_atom_site_fract_z
_atom_site_occupancy
Pr1 Pr 0.250 0.750 0.000 1
Dy1 Dy 0.250 0.750 0.270 1
Er1 Er 0.000 0.000 0.115 1
Er2 Er 0.081 0.581 0.439 1
Er3 Er 0.250 0.250 0.215 1
Er4 Er 0.250 0.250 0.340 1

8.
# GGA-PBE Cd12InAg6, optimized geometry
# formation energy = -0.001 eV/atom
# theoretical density = 8.96 g/cm³
# E above lowest polymorph = 0 meV/atom
# DOS at the Fermi energy = 6.7 states/eV/f.u.
# magnetic moment = 0.00 μB/cell
data_Cd12InAg6
_symmetry_space_group_name_H-M 'R -3'
_symmetry_Int_Tables_number 148
_symmetry_space_group_name_Hall '-R 3'
_cell_length_a 13.3393
_cell_length_b 13.3393
_cell_length_c 7.6184
_cell_angle_alpha 90.00
_cell_angle_beta 90.00
_cell_angle_gamma 120.00
loop_
_atom_site_label
_atom_site_type_symbol
_atom_site_fract_x
_atom_site_fract_y
_atom_site_fract_z
_atom_site_occupancy
Cd1 Cd 0.0121 0.1415 0.1599 1
Cd2 Cd 0.0633 0.5594 0.1739 1
In1 In 0.0000 0.0000 0.5000 1
Ag1 Ag 0.0332 0.2790 0.8257 1

9.
# GGA-PBE Ac5BiPb2, optimized geometry
# formation energy = -0.521 eV/atom
# theoretical density = 9.38 g/cm³
# DOS at the Fermi energy = 9.7 states/eV/f.u.
# magnetic moment = 7.42 μB/cell
data_Ac5BiPb2
_symmetry_space_group_name_H-M 'I 4/m c m'
_symmetry_Int_Tables_number 140
_symmetry_space_group_name_Hall '-I 4 2c'
_cell_length_a 9.073
_cell_length_b 9.073
_cell_length_c 15.122
_cell_angle_alpha 90.00
_cell_angle_beta 90.00
_cell_angle_gamma 90.00
loop_
_atom_site_label
_atom_site_type_symbol
_atom_site_fract_x
_atom_site_fract_y
_atom_site_fract_z
_atom_site_occupancy
Ac1 Ac 0.000 0.000 0.000 1
Ac2 Ac 0.158 0.342 0.149 1
Bi1 Bi 0.000 0.000 0.250 1
Pb1 Pb 0.142 0.358 0.500 1

10.
# GGA-PBE Th2ZrGe3Pt4, optimized geometry
# formation energy = -0.949 eV/atom
# theoretical density = 12.77 g/cm³
# DOS at the Fermi energy = 7.1 states/eV/f.u.
# magnetic moment = 0.00 μB/cell
data_Th2ZrGe3Pt4
_symmetry_space_group_name_H-M 'P -4 m 2'
_symmetry_Int_Tables_number 115
_cell_length_a 4.286
_cell_length_b 4.286
_cell_length_c 10.991
_cell_angle_alpha 90.00
_cell_angle_beta 90.00
_cell_angle_gamma 90.00
loop_
_symmetry_equiv_pos_as_xyz
'x,y,z'
'y,-x,-z'
'-x,-y,z'
'-y,x,-z'
'-x,y,z'
'-y,-x,-z'
'x,-y,z'
'y,x,-z'
loop_
_atom_site_label
_atom_site_type_symbol
_atom_site_fract_x
_atom_site_fract_y
_atom_site_fract_z
_atom_site_occupancy
Th1 Th 0.000 0.500 0.227 1
Zr1 Zr 0.000 0.000 0.500 1
Ge1 Ge 0.000 0.500 0.870 1
Ge2 Ge 0.500 0.500 0.500 1
Pt1 Pt 0.000 0.000 0.000 1
Pt2 Pt 0.000 0.500 0.647 1
Pt3 Pt 0.500 0.500 0.000 1

11.
# GGA-PBE Cd4TeSe3, optimized geometry
# theoretical density = 5.41 g/cm³
# E above lowest polymorph = 0 meV/atom
# DOS at the Fermi energy = 0.1 states/eV/f.u.
# magnetic moment = 0.00 μB/cell
# uncorrected formation energy = -0.579 eV per atom
data_Cd4TeSe3
_symmetry_space_group_name_H-M 'P m m 2'
_symmetry_Int_Tables_number 25
_cell_length_a 4.455
_cell_length_b 8.913
_cell_length_c 6.296
_cell_angle_alpha 90.00
_cell_angle_beta 90.00
_cell_angle_gamma 90.00
loop_
_symmetry_equiv_pos_as_xyz
'x,y,z'
'-x,-y,z'
'-x,y,z'
'x,-y,z'
loop_
_atom_site_label
_atom_site_type_symbol
_atom_site_fract_x
_atom_site_fract_y
_atom_site_fract_z
_atom_site_occupancy
Cd1 Cd 0.000 0.000 0.000 1
Cd2 Cd 0.000 0.500 0.033 1
Cd3 Cd 0.500 0.239 0.499 1
Te1 Te 0.500 0.500 0.757 1
Se1 Se 0.000 0.242 0.258 1
Se2 Se 0.500 0.000 0.758 1

12.
# GGA-PBE CaTa2Pb, optimized geometry
# formation energy = 0.223 eV/atom
# theoretical density = 10.65 g/cm³
# DOS at the Fermi energy = 3.0 states/eV/f.u.
# magnetic moment = 0.00 μB/cell
data_CaTa2Pb
_symmetry_space_group_name_H-M 'P m m 2'
_symmetry_Int_Tables_number 25
_cell_length_a 3.565
_cell_length_b 3.590
_cell_length_c 7.419
_cell_angle_alpha 90.00
_cell_angle_beta 90.00
_cell_angle_gamma 90.00
loop_
_symmetry_equiv_pos_as_xyz
'x,y,z'
'-x,-y,z'
'-x,y,z'
'x,-y,z'
loop_
_atom_site_label
_atom_site_type_symbol
_atom_site_fract_x
_atom_site_fract_y
_atom_site_fract_z
_atom_site_occupancy
Ca1 Ca 0.000 0.000 0.000 1
Ta1 Ta 0.000 0.000 0.550 1
Ta2 Ta 0.500 0.500 0.705 1
Pb1 Pb 0.500 0.500 0.297 1